[1]
Here is crystalline Tb2Sm12Er5 at its relaxed geometry from Alexandria. Energies are from PBE-GGA.

The structure in extended XYZ format:
```
19
Lattice="10.271 0.000 0.000 -5.135 7.774 -0.479 0.000 0.733 7.915" Properties=species:S:1:pos:R:3 pbc="T T T"
Er 0.000 4.179 3.803
Er 5.135 3.009 7.079
Er 5.135 4.328 3.633
Sm 5.135 5.549 0.603
Sm 0.000 7.485 5.191
Tb 2.542 0.000 0.000
Sm 0.000 2.958 6.834
Sm 7.884 3.129 1.439
Tb 7.729 0.000 0.000
Sm 2.749 5.378 5.997
Sm 5.135 1.022 2.245
Sm 2.328 6.414 2.701
Er 0.000 0.366 3.958
Sm 2.386 3.129 1.439
Sm -2.749 5.378 5.997
Sm 2.807 2.093 4.736
Sm 7.463 2.093 4.736
Er 0.000 5.498 0.358
Sm -2.328 6.414 2.701
```

Computed properties:
Its volume is 33.45 A^3/atom. The calculation puts the density of states at the Fermi level at 1.394 states/eV per atom. The offset from the most stable computed form comes out at 31 meV/atom. The calculation puts the formation energy from the elements at 0.135 eV per atom.

[2]
Here is crystalline Li2NiHPt at its relaxed geometry from Alexandria. Energies are from PBE-GGA.

The structure in extended XYZ format:
```
5
Lattice="3.738 0.000 0.000 0.000 3.738 0.000 0.000 0.000 3.795" Properties=species:S:1:pos:R:3 pbc="T T T"
Li 1.869 0.000 0.000
Pt 0.000 0.000 1.897
Ni 1.869 1.869 1.897
Li 0.000 1.869 0.000
H 0.000 0.000 0.000
```

Computed properties:
Its volume is 10.61 A^3/atom. The calculation puts the density of states at the Fermi level at 0.693 states/eV per atom. The offset from the most stable computed form comes out at 36 meV/atom.

[3]
Here is crystalline SrScIr4 at its relaxed geometry from Alexandria. Energies are from PBE-GGA.

The structure in extended XYZ format:
```
6
Lattice="5.358 0.000 0.000 2.679 4.640 0.000 2.679 1.547 4.375" Properties=species:S:1:pos:R:3 pbc="T T T"
Ir 5.358 3.093 0.551
Ir 6.694 3.865 2.733
Sr 0.000 0.000 0.000
Ir 4.022 3.865 2.733
Ir 5.358 1.551 2.733
Sc 2.679 1.547 1.094
```

Computed properties:
Its volume is 18.13 A^3/atom. The calculation puts the density of states at the Fermi level at 1.017 states/eV per atom. The calculation puts the formation energy from the elements at -0.444 eV per atom.

Copy entry 3 word for word.
Here is crystalline SrScIr4 at its relaxed geometry from Alexandria. Energies are from PBE-GGA.

The structure in extended XYZ format:
```
6
Lattice="5.358 0.000 0.000 2.679 4.640 0.000 2.679 1.547 4.375" Properties=species:S:1:pos:R:3 pbc="T T T"
Ir 5.358 3.093 0.551
Ir 6.694 3.865 2.733
Sr 0.000 0.000 0.000
Ir 4.022 3.865 2.733
Ir 5.358 1.551 2.733
Sc 2.679 1.547 1.094
```

Computed properties:
Its volume is 18.13 A^3/atom. The calculation puts the density of states at the Fermi level at 1.017 states/eV per atom. The calculation puts the formation energy from the elements at -0.444 eV per atom.

Copy entry 3 word for word.
Here is crystalline SrScIr4 at its relaxed geometry from Alexandria. Energies are from PBE-GGA.

The structure in extended XYZ format:
```
6
Lattice="5.358 0.000 0.000 2.679 4.640 0.000 2.679 1.547 4.375" Properties=species:S:1:pos:R:3 pbc="T T T"
Ir 5.358 3.093 0.551
Ir 6.694 3.865 2.733
Sr 0.000 0.000 0.000
Ir 4.022 3.865 2.733
Ir 5.358 1.551 2.733
Sc 2.679 1.547 1.094
```

Computed properties:
Its volume is 18.13 A^3/atom. The calculation puts the density of states at the Fermi level at 1.017 states/eV per atom. The calculation puts the formation energy from the elements at -0.444 eV per atom.

> Number 3 is which compound?

SrScIr4